(1)
Compound: TiMnTlTe3
Source: Alexandria via LeMat-Bulk
Functional: PBE-GGA
Structure: relaxed

Calculated values
Formation energy without anion corrections, meV per atom: -425
Total magnetic moment, μB/f.u.: 3.49
Fermi-level density of states, states/eV/f.u.: 3.3

abc: 3.9630 15.9298 10.6273
angles: 90.00 90.00 90.00
Space group Cmcm (No. 63)
Asymmetric unit:
Ti: 0.0000 0.0000 0.0000 x4
Mn: 0.0000 0.4616 0.2500 x4
Tl: 0.0000 0.2385 0.7500 x4
Te: 0.0000 0.0722 0.2500 x4
Te: 0.0000 0.3740 0.0405 x8

(2)
Compound: SrHgCl
Source: Alexandria via LeMat-Bulk
Functional: PBE-GGA
Structure: relaxed

Calculated values
Formation energy without anion corrections, meV per atom: -1328
Total magnetic moment, μB/f.u.: 0.00
Energy above the most stable polymorph in this dataset, meV/atom: 44
Fermi-level density of states, states/eV/f.u.: 1.0

abc: 4.9005 4.9005 27.1644
angles: 90.00 90.00 120.00
Space group R3m (No. 160, hexagonal axes)
Asymmetric unit:
Sr: 0.0000 0.0000 0.0000 x3
Sr: 0.0000 0.0000 0.1647 x3
Hg: 0.0000 0.0000 0.4110 x3
Hg: 0.0000 0.0000 0.7455 x3
Cl: 0.0000 0.0000 0.2820 x3
Cl: 0.0000 0.0000 0.5356 x3

(3)
Compound: Nd3Y3Tm2
Source: Alexandria via LeMat-Bulk
Functional: PBE-GGA
Structure: relaxed

Calculated values
DFT total energy, eV/cell: -84.0
Total magnetic moment, μB/f.u.: 0.00
Fermi-level density of states, states/eV/f.u.: 13.2

abc: 16.4532 5.7054 6.0022
angles: 90.00 109.62 90.00
Space group C2/m (No. 12)
Asymmetric unit:
Nd: 0.0000 0.0000 0.0000 x2
Nd: 0.1360 0.0000 0.6974 x4
Y: 0.0000 0.5000 0.5000 x2
Y: 0.1341 0.5000 0.0840 x4
Tm: 0.2495 0.0000 0.3173 x4

(4)
Compound: ErBiPd5
Source: Alexandria via LeMat-Bulk
Functional: PBE-GGA
Structure: relaxed

Calculated values
DFT total energy, eV/cell: -72.0
Total magnetic moment, μB/f.u.: 0.00
Fermi-level density of states, states/eV/f.u.: 3.9

abc: 5.4246 7.1674 7.4582
angles: 90.00 90.00 90.00
Space group Imm2 (No. 44)
Asymmetric unit:
Er: 0.0000 0.0000 0.0000 x2
Bi: 0.0000 0.5000 0.8275 x2
Pd: 0.0000 0.0000 0.3531 x2
Pd: 0.0000 0.3157 0.5078 x4
Pd: 0.2439 0.5000 0.1897 x4

(5)
Compound: Zn3Cu
Source: Alexandria via LeMat-Bulk
Functional: PBE-GGA
Structure: relaxed

Calculated values
DFT total energy, eV/cell: -8.0
Total magnetic moment, μB/f.u.: 0.00
Fermi-level density of states, states/eV/f.u.: 0.3

abc: 2.6228 4.1633 5.2314
angles: 90.00 103.96 90.00
Space group P2/m (No. 10)
Asymmetric unit:
Zn: 0.0000 0.0000 0.0000 x1
Zn: 0.2592 0.5000 0.7420 x2
Cu: 0.5000 0.0000 0.5000 x1

(6)
Compound: Te2HF
Source: Alexandria via LeMat-Bulk
Functional: PBE-GGA
Structure: relaxed

Calculated values
Total magnetic moment, μB/f.u.: 0.00
Energy above the most stable polymorph in this dataset, meV/atom: 275
Fermi-level density of states, states/eV/f.u.: 2.4

abc: 6.4294 6.4294 6.4294
angles: 90.00 90.00 90.00
Space group Fm-3m (No. 225)
Asymmetric unit:
Te: 0.2500 0.2500 0.2500 x8
H: 0.0000 0.0000 0.0000 x4
F: 0.0000 0.0000 0.5000 x4

(7)
Compound: Pu2ZrPa
Source: Alexandria via LeMat-Bulk
Functional: PBE-GGA
Structure: relaxed

Calculated values
Total magnetic moment, μB/f.u.: 10.36
Energy above the most stable polymorph in this dataset, meV/atom: 0
Fermi-level density of states, states/eV/f.u.: 11.0

abc: 10.9094 6.4762 5.4363
angles: 90.00 101.14 90.00
Space group C2/m (No. 12)
Asymmetric unit:
Pu: 0.1433 0.2444 0.2845 x8
Zr: 0.1003 0.5000 0.7841 x4
Pa: 0.1111 0.0000 0.7994 x4

(8)
Compound: Sr3AgBr
Source: Alexandria via LeMat-Bulk
Functional: PBE-GGA
Structure: relaxed

Calculated values
Formation energy without anion corrections, meV per atom: -398
Total magnetic moment, μB/f.u.: 0.00
Energy above the most stable polymorph in this dataset, meV/atom: 0
Fermi-level density of states, states/eV/f.u.: 2.7

abc: 6.1702 6.1702 6.1702
angles: 90.00 90.00 90.00
Space group Pm-3m (No. 221)
Asymmetric unit:
Sr: 0.0000 0.0000 0.5000 x3
Ag: 0.0000 0.0000 0.0000 x1
Br: 0.5000 0.5000 0.5000 x1

(9)
Compound: RbTe3P
Source: Alexandria via LeMat-Bulk
Functional: PBE-GGA
Structure: relaxed

Calculated values
Formation energy without anion corrections, meV per atom: -69
Total magnetic moment, μB/f.u.: 0.00
Energy above the most stable polymorph in this dataset, meV/atom: 225
Fermi-level density of states, states/eV/f.u.: 4.0

abc: 5.4637 5.4637 5.4637
angles: 90.00 90.00 90.00
Space group Pm-3m (No. 221)
Asymmetric unit:
Rb: 0.0000 0.0000 0.0000 x1
Te: 0.0000 0.5000 0.5000 x3
P: 0.5000 0.5000 0.5000 x1

(10)
Compound: PmNd3Ho
Source: Alexandria via LeMat-Bulk
Functional: PBE-GGA
Structure: relaxed

Calculated values
Total magnetic moment, μB/f.u.: 0.00
Energy above the most stable polymorph in this dataset, meV/atom: 140
Fermi-level density of states, states/eV/f.u.: 4.1

abc: 8.1301 14.1144 6.2242
angles: 90.00 90.00 90.00
Space group Cmcm (No. 63)
Asymmetric unit:
Pm: 0.0000 0.2005 0.2500 x4
Nd: 0.0000 0.0000 0.0000 x4
Nd: 0.1991 0.3987 0.2500 x8
Ho: 0.0000 0.3313 0.7500 x4

(11)
Compound: K2UInI8
Source: Alexandria via LeMat-Bulk
Functional: PBE-GGA
Structure: relaxed

Calculated values
Formation energy without anion corrections, meV per atom: -907
Total magnetic moment, μB/f.u.: 1.73
Fermi-level density of states, states/eV/f.u.: 6.5

abc: 7.5675 9.9150 8.0773
angles: 90.00 93.04 90.00
Space group P2/m (No. 10)
Asymmetric unit:
K: 0.0000 0.2480 0.0000 x2
U: 0.5000 0.5000 0.5000 x1
In: 0.5000 0.0000 0.5000 x1
I: 0.2546 0.0000 0.1823 x2
I: 0.2772 0.2787 0.6285 x4
I: 0.2835 0.5000 0.1793 x2

(12)
Compound: YMn2NbH
Source: Alexandria via LeMat-Bulk
Functional: PBE-GGA
Structure: relaxed

Calculated values
DFT total energy, eV/cell: -35.4
Total magnetic moment, μB/f.u.: 5.26
Fermi-level density of states, states/eV/f.u.: 9.2

abc: 4.9083 4.9083 3.6781
angles: 90.00 90.00 90.00
Space group P4/mmm (No. 123)
Asymmetric unit:
Y: 0.0000 0.0000 0.0000 x1
Mn: 0.0000 0.5000 0.5000 x2
Nb: 0.5000 0.5000 0.5000 x1
H: 0.5000 0.5000 0.0000 x1

> Which formula does entry 5 have?

Zn3Cu

> total magnetic moment of number 8 (Sr3AgBr)?

0.00 μB/f.u.